(1)
Density functional theory data (PBE) for Tb2Cu4S5 after structural relaxation.

Computed properties:
* energy relative to the elements, uncorrected: -913 meV/atom
* DOS at the Fermi energy: 3.9 states/eV/cell

Lattice parameters (Å, degrees): 16.1266 16.1266 16.1266 13.66 13.66 13.66
Atoms (fractional coordinates):
Tb 0.1320 0.1320 0.1320
Tb 0.8680 0.8680 0.8680
Cu 0.3113 0.3113 0.3113
Cu 0.4135 0.4135 0.4135
Cu 0.5865 0.5865 0.5865
Cu 0.6887 0.6887 0.6887
S 0.2358 0.2358 0.2358
S 0.3660 0.3660 0.3660
S 0.5000 0.5000 0.5000
S 0.6340 0.6340 0.6340
S 0.7642 0.7642 0.7642


(2)
Density functional theory data (PBE) for Tb2CuS after structural relaxation.

Computed properties:
* energy relative to the elements, uncorrected: -978 meV/atom
* DOS at the Fermi energy: 10.0 states/eV/cell

Lattice parameters (Å, degrees): 3.8147 3.8147 21.6261 90.00 90.00 120.00
Atoms (fractional coordinates):
Tb 0.0000 0.0000 0.0000
Tb 0.0000 0.0000 0.1763
Tb 0.3333 0.6667 0.6667
Tb 0.3333 0.6667 0.8430
Tb 0.6667 0.3333 0.3333
Tb 0.6667 0.3333 0.5096
Cu 0.0000 0.0000 0.4207
Cu 0.3333 0.6667 0.0874
Cu 0.6667 0.3333 0.7541
S 0.0000 0.0000 0.5897
S 0.3333 0.6667 0.2564
S 0.6667 0.3333 0.9230


(3)
Density functional theory data (PBE) for Tb4Cu2S after structural relaxation.

Computed properties:
* energy relative to the elements, uncorrected: -679 meV/atom
* DOS at the Fermi energy: 10.2 states/eV/cell

Lattice parameters (Å, degrees): 12.8161 3.8613 8.2925 90.00 125.26 90.00
Atoms (fractional coordinates):
Tb 0.0924 0.0000 0.3939
Tb 0.1720 0.5000 0.0809
Tb 0.3280 0.0000 0.9191
Tb 0.4076 0.5000 0.6061
Tb 0.5924 0.5000 0.3939
Tb 0.6720 0.0000 0.0809
Tb 0.8280 0.5000 0.9191
Tb 0.9076 0.0000 0.6061
Cu 0.1135 0.5000 0.6732
Cu 0.3865 0.0000 0.3268
Cu 0.6135 0.0000 0.6732
Cu 0.8865 0.5000 0.3268
S 0.0000 0.0000 0.0000
S 0.5000 0.5000 0.0000


(4)
Density functional theory data (PBE) for Tb2CuS after structural relaxation.

Computed properties:
* energy relative to the elements, uncorrected: -452 meV/atom
* DOS at the Fermi energy: 8.3 states/eV/cell

Lattice parameters (Å, degrees): 3.6833 3.6833 26.7723 90.00 90.00 120.00
Atoms (fractional coordinates):
Tb 0.0000 0.0000 0.1044
Tb 0.0000 0.0000 0.8956
Tb 0.3333 0.6667 0.5622
Tb 0.3333 0.6667 0.7711
Tb 0.6667 0.3333 0.2289
Tb 0.6667 0.3333 0.4378
Cu 0.0000 0.0000 0.0000
Cu 0.3333 0.6667 0.6667
Cu 0.6667 0.3333 0.3333
S 0.0000 0.0000 0.5000
S 0.3333 0.6667 0.1667
S 0.6667 0.3333 0.8333


(5)
Density functional theory data (PBE) for TbCu5S4 after structural relaxation.

Computed properties:
* energy relative to the elements, uncorrected: -558 meV/atom
* DOS at the Fermi energy: 1.1 states/eV/cell

Lattice parameters (Å, degrees): 7.4146 7.4146 7.4146 149.98 124.02 64.82
Atoms (fractional coordinates):
Tb 0.0000 0.0000 0.0000
Cu 0.0195 0.3196 0.6998
Cu 0.3802 0.6804 0.6998
Cu 0.5000 0.0000 0.5000
Cu 0.6198 0.3196 0.3002
Cu 0.9805 0.6804 0.3002
S 0.2253 0.2253 0.0000
S 0.2801 0.5000 0.7801
S 0.7199 0.5000 0.2199
S 0.7747 0.7747 0.0000


(6)
Density functional theory data (PBE) for Tb2CuS after structural relaxation.

Computed properties:
* energy relative to the elements, uncorrected: -1142 meV/atom
* DOS at the Fermi energy: 8.1 states/eV/cell

Lattice parameters (Å, degrees): 3.9196 22.6706 3.9472 90.00 90.00 90.00
Atoms (fractional coordinates):
Tb 0.0000 0.0701 0.2500
Tb 0.0000 0.3133 0.2500
Tb 0.0000 0.6867 0.7500
Tb 0.0000 0.9299 0.7500
Tb 0.5000 0.1867 0.7500
Tb 0.5000 0.4299 0.7500
Tb 0.5000 0.5701 0.2500
Tb 0.5000 0.8133 0.2500
Cu 0.0000 0.4628 0.2500
Cu 0.0000 0.5372 0.7500
Cu 0.5000 0.0372 0.7500
Cu 0.5000 0.9628 0.2500
S 0.0000 0.1924 0.2500
S 0.0000 0.8076 0.7500
S 0.5000 0.3076 0.7500
S 0.5000 0.6924 0.2500


| no. | electronic total energy (eV per cell) |
| --- | --- |
| 1 | -56.33 |
| 2 | -64.19 |
| 3 | -71.19 |
| 4 | -57.87 |
| 5 | -47.20 |
| 6 | -88.21 |